VASP calculation (PBE) on a relaxed Tc3HSe crystal.

- polymorph energy (0 for the lowest one) (meV/atom) = 0
- crystal system = cubic

abc: 3.976 3.976 3.976
angles: 90.00 90.00 90.00
Space group Pm-3m (No. 221)
Inequivalent atoms, fractional coordinates:
Tc 0.000 0.000 0.500
H 0.000 0.000 0.000
Se 0.500 0.500 0.500

***

VASP calculation (PBE) on a relaxed HoEr3In4Te8 crystal.

- crystal system = trigonal
- E_form (uncorrected) (eV/f.u.) = -15.30

abc: 8.7788 8.7788 24.3293
angles: 90.00 90.00 120.00
Space group R-3m (No. 166, hexagonal axes)
Inequivalent atoms, fractional coordinates:
Ho 0.0000 0.0000 0.0000
Er 0.0000 0.5000 0.0000
In 0.0000 0.0000 0.5000
In 0.0000 0.5000 0.5000
Te 0.0000 0.0000 0.2611
Te 0.0008 0.5004 0.2609

***

VASP calculation (PBE) on a relaxed TbPrEuZn crystal.

- energy of formation (kJ per mole of atoms) = 6.0
- crystal system = cubic

abc: 7.751 7.751 7.751
angles: 90.00 90.00 90.00
Space group F-43m (No. 216)
Inequivalent atoms, fractional coordinates:
Tb 0.000 0.000 0.000
Pr 0.000 0.000 0.500
Eu 0.250 0.250 0.250
Zn 0.250 0.250 0.750

***

VASP calculation (PBE) on a relaxed Nb2VRu2 crystal.

- energy of formation (kJ per mole of atoms) = 7.9
- polymorph energy (0 for the lowest one) (meV/atom) = 0
- crystal system = tetragonal

abc: 7.347 7.347 3.085
angles: 90.00 90.00 90.00
Space group P4/mbm (No. 127)
Inequivalent atoms, fractional coordinates:
Nb 0.167 0.333 0.000
V 0.000 0.000 0.500
Ru 0.135 0.635 0.500

***

VASP calculation (PBE) on a relaxed Sr2SiAg crystal.

- crystal system = tetragonal
- E_form (uncorrected) (eV/f.u.) = 0.11

abc: 3.815 3.815 8.685
angles: 90.00 90.00 90.00
Space group P4mm (No. 99)
Inequivalent atoms, fractional coordinates:
Sr 0.000 0.000 0.000
Sr 0.500 0.500 0.406
Si 0.500 0.500 0.764
Ag 0.000 0.000 0.641

***

VASP calculation (PBE) on a relaxed MoBr3 crystal.

- crystal system = tetragonal
- E_form (uncorrected) (eV/f.u.) = -0.16

abc: 9.153 9.153 5.219
angles: 90.00 90.00 90.00
Space group I-42d (No. 122)
Inequivalent atoms, fractional coordinates:
Mo 0.000 0.000 0.000
Br 0.000 0.000 0.500
Br 0.112 0.250 0.125

***

VASP calculation (PBE) on a relaxed TlTe2CI crystal.

- polymorph energy (0 for the lowest one) (meV/atom) = 1061
- crystal system = tetragonal
- E_form (uncorrected) (eV/f.u.) = 9.29

abc: 5.921 5.921 6.046
angles: 90.00 90.00 90.00
Space group P4/mmm (No. 123)
Inequivalent atoms, fractional coordinates:
Tl 0.000 0.000 0.000
Te 0.000 0.500 0.000
C 0.500 0.500 0.500
I 0.000 0.000 0.500

***

VASP calculation (PBE) on a relaxed TbAlFeGe2 crystal.

- energy of formation (kJ per mole of atoms) = -41.8
- crystal system = orthorhombic

abc: 5.523 5.615 5.607
angles: 90.00 90.00 90.00
Space group Pmma (No. 51)
Inequivalent atoms, fractional coordinates:
Tb 0.250 0.000 0.220
Al 0.250 0.500 0.354
Fe 0.000 0.500 0.000
Ge 0.250 0.246 0.742

***

VASP calculation (PBE) on a relaxed LiSbS2 crystal.

- crystal system = trigonal
- E_form (uncorrected) (eV/f.u.) = -2.64

abc: 14.0568 14.0568 9.4326
angles: 90.00 90.00 120.00
Space group R-3 (No. 148, hexagonal axes)
Inequivalent atoms, fractional coordinates:
Li 0.0132 0.5900 0.1766
Sb 0.0526 0.1737 0.8209
S 0.0043 0.4257 0.3377
S 0.0486 0.1780 0.3141

***

VASP calculation (PBE) on a relaxed Li2AcSbSe4 crystal.

- crystal system = tetragonal
- E_form (uncorrected) (eV/f.u.) = -8.71

abc: 7.217 7.217 8.056
angles: 90.00 90.00 90.00
Space group I-42m (No. 121)
Inequivalent atoms, fractional coordinates:
Li 0.000 0.500 0.250
Ac 0.000 0.000 0.000
Sb 0.000 0.000 0.500
Se 0.226 0.226 0.693